Record 1
An optimized crystal structure of FeSb2Cl, computed with GGA-PBE.

Output
Formation energy (no corrections): 0.391 eV/atom
Final energy: -4.248 eV/atom
Magnetization: 3.00 μB per cell
Energy relative to the lowest polymorph listed for this composition: 472.9 meV per atom

```
data_FeSb2Cl
_chemical_formula_sum 'Fe1 Sb2 Cl1'
_cell_length_a 4.8323
_cell_length_b 3.1618
_cell_length_c 5.8964
_cell_angle_alpha 90.00
_cell_angle_beta 90.18
_cell_angle_gamma 90.00
_symmetry_space_group_name_H-M 'P 1'
_symmetry_Int_Tables_number 1
loop_
_symmetry_equiv_pos_as_xyz
'x,y,z'
loop_
_atom_site_label
_atom_site_type_symbol
_atom_site_fract_x
_atom_site_fract_y
_atom_site_fract_z
Fe1 Fe 0.0000 0.0000 0.0000
Sb1 Sb 0.5000 0.0000 0.5000
Sb2 Sb 0.5000 0.5000 0.0000
Cl1 Cl 0.0000 0.5000 0.5000
```

---

Record 2
An optimized crystal structure of LiGa2Fe4, computed with GGA-PBE.

Output
Final energy: -5.976 eV/atom
Magnetization: 17.30 μB per cell
Calculated formation energy: 0.00 eV/atom

```
data_LiGa2Fe4
_chemical_formula_sum 'Li2 Ga4 Fe8'
_cell_length_a 6.9158
_cell_length_b 6.9158
_cell_length_c 4.1086
_cell_angle_alpha 90.00
_cell_angle_beta 90.00
_cell_angle_gamma 90.00
_symmetry_space_group_name_H-M 'P 1'
_symmetry_Int_Tables_number 1
loop_
_symmetry_equiv_pos_as_xyz
'x,y,z'
loop_
_atom_site_label
_atom_site_type_symbol
_atom_site_fract_x
_atom_site_fract_y
_atom_site_fract_z
Li1 Li 0.0000 0.0000 0.0000
Li2 Li 0.5000 0.5000 0.5000
Ga1 Ga 0.2138 0.2138 0.5000
Ga2 Ga 0.2862 0.7138 0.0000
Ga3 Ga 0.7138 0.2862 0.0000
Ga4 Ga 0.7862 0.7862 0.5000
Fe1 Fe 0.1146 0.3811 0.0000
Fe2 Fe 0.1189 0.6146 0.5000
Fe3 Fe 0.3811 0.1146 0.0000
Fe4 Fe 0.3854 0.8811 0.5000
Fe5 Fe 0.6146 0.1189 0.5000
Fe6 Fe 0.6189 0.8854 0.0000
Fe7 Fe 0.8811 0.3854 0.5000
Fe8 Fe 0.8854 0.6189 0.0000
```

---

Record 3
An optimized crystal structure of La7Pr2Nd2, computed with GGA-PBE.

Output
Final energy: -4.759 eV/atom
Magnetization: 0.00 μB per cell
Calculated formation energy: 0.11 eV/atom
Energy relative to the lowest polymorph listed for this composition: 5.4 meV per atom

```
data_La7Pr2Nd2
_chemical_formula_sum 'La7 Pr2 Nd2'
_cell_length_a 8.2998
_cell_length_b 8.2998
_cell_length_c 6.2710
_cell_angle_alpha 104.93
_cell_angle_beta 104.93
_cell_angle_gamma 89.71
_symmetry_space_group_name_H-M 'P 1'
_symmetry_Int_Tables_number 1
loop_
_symmetry_equiv_pos_as_xyz
'x,y,z'
loop_
_atom_site_label
_atom_site_type_symbol
_atom_site_fract_x
_atom_site_fract_y
_atom_site_fract_z
La1 La 0.0000 0.0000 0.0000
La2 La 0.0424 0.5887 0.8213
La3 La 0.2287 0.2287 0.6007
La4 La 0.4113 0.9576 0.1787
La5 La 0.5887 0.0424 0.8213
La6 La 0.7713 0.7713 0.3993
La7 La 0.9576 0.4113 0.1787
Pr1 Pr 0.4244 0.4244 0.1978
Pr2 Pr 0.5756 0.5756 0.8022
Nd1 Nd 0.2176 0.7824 0.5000
Nd2 Nd 0.7824 0.2176 0.5000
```

---

Record 4
An optimized crystal structure of LaTa2Cl, computed with GGA-PBE.

Output
Formation energy (no corrections): 0.618 eV/atom
Final energy: -7.001 eV/atom
Magnetization: 0.00 μB per cell
Energy relative to the lowest polymorph listed for this composition: 816.2 meV per atom

```
data_LaTa2Cl
_chemical_formula_sum 'La1 Ta2 Cl1'
_cell_length_a 6.1222
_cell_length_b 6.1222
_cell_length_c 3.0697
_cell_angle_alpha 90.00
_cell_angle_beta 90.00
_cell_angle_gamma 126.93
_symmetry_space_group_name_H-M 'P 1'
_symmetry_Int_Tables_number 1
loop_
_symmetry_equiv_pos_as_xyz
'x,y,z'
loop_
_atom_site_label
_atom_site_type_symbol
_atom_site_fract_x
_atom_site_fract_y
_atom_site_fract_z
La1 La 0.0000 0.0000 0.0000
Ta1 Ta 0.0000 0.5000 0.5000
Ta2 Ta 0.5000 0.0000 0.5000
Cl1 Cl 0.5000 0.5000 0.0000
```

---

Record 5
An optimized crystal structure of BeRe2Ir, computed with GGA-PBE.

Output
Final energy: -9.540 eV/atom
Magnetization: 0.00 μB per cell
Calculated formation energy: -0.17 eV/atom

```
data_BeRe2Ir
_chemical_formula_sum 'Be1 Re2 Ir1'
_cell_length_a 2.7919
_cell_length_b 2.7919
_cell_length_c 6.7099
_cell_angle_alpha 90.00
_cell_angle_beta 90.00
_cell_angle_gamma 90.00
_symmetry_space_group_name_H-M 'P 1'
_symmetry_Int_Tables_number 1
loop_
_symmetry_equiv_pos_as_xyz
'x,y,z'
loop_
_atom_site_label
_atom_site_type_symbol
_atom_site_fract_x
_atom_site_fract_y
_atom_site_fract_z
Be1 Be 0.0000 0.0000 0.0000
Re1 Re 0.0000 0.0000 0.4848
Re2 Re 0.5000 0.5000 0.7654
Ir1 Ir 0.5000 0.5000 0.1997
```

---

Record 6
An optimized crystal structure of Hf2ZnNiN, computed with GGA-PBE.

Output
Formation energy (no corrections): -0.873 eV/atom
Final energy: -7.930 eV/atom
Magnetization: 0.00 μB per cell

```
data_Hf2ZnNiN
_chemical_formula_sum 'Hf4 Zn2 Ni2 N2'
_cell_length_a 3.4211
_cell_length_b 3.4211
_cell_length_c 11.9991
_cell_angle_alpha 90.00
_cell_angle_beta 90.00
_cell_angle_gamma 90.00
_symmetry_space_group_name_H-M 'P 1'
_symmetry_Int_Tables_number 1
loop_
_symmetry_equiv_pos_as_xyz
'x,y,z'
loop_
_atom_site_label
_atom_site_type_symbol
_atom_site_fract_x
_atom_site_fract_y
_atom_site_fract_z
Hf1 Hf 0.2500 0.2500 0.0899
Hf2 Hf 0.2500 0.2500 0.7292
Hf3 Hf 0.7500 0.7500 0.2708
Hf4 Hf 0.7500 0.7500 0.9101
Zn1 Zn 0.2500 0.7500 0.5000
Zn2 Zn 0.7500 0.2500 0.5000
Ni1 Ni 0.2500 0.2500 0.3414
Ni2 Ni 0.7500 0.7500 0.6586
N1 N 0.2500 0.2500 0.9085
N2 N 0.7500 0.7500 0.0915
```